No. 1
# PBE SmPa2As4, relaxed
# Size of the total moment (μB/f.u.): 0.00
# Mass density (g/cm³): 8.15
# Space-group type: Cmcm (63)
# Energy (eV for the cell shown): -97.97
# Calculated formation energy (kcal/mol of atoms): -22.0
data_SmPa2As4
_space_group_name_H-M_alt 'P 1'
_space_group_IT_number 1
_cell_length_a 7.104
_cell_length_b 7.104
_cell_length_c 13.327
_cell_angle_alpha 90.00
_cell_angle_beta 90.00
_cell_angle_gamma 146.46
loop_
_space_group_symop_operation_xyz
'x,y,z'
loop_
_atom_site_label
_atom_site_type_symbol
_atom_site_fract_x
_atom_site_fract_y
_atom_site_fract_z
_atom_site_occupancy
Sm1 Sm 0.114 0.886 0.750 1
Sm2 Sm 0.886 0.114 0.250 1
Pa1 Pa 0.369 0.631 0.565 1
Pa2 Pa 0.369 0.631 0.935 1
Pa3 Pa 0.631 0.369 0.065 1
Pa4 Pa 0.631 0.369 0.435 1
As1 As 0.000 0.000 0.000 1
As2 As 0.000 0.000 0.500 1
As3 As 0.267 0.733 0.125 1
As4 As 0.267 0.733 0.375 1
As5 As 0.459 0.541 0.750 1
As6 As 0.541 0.459 0.250 1
As7 As 0.733 0.267 0.625 1
As8 As 0.733 0.267 0.875 1

---

No. 2
# PBE Ti2IrRu2, relaxed
# Size of the total moment (μB/f.u.): 0.00
# Mass density (g/cm³): 10.73
# Space-group type: P4/mbm (127)
# Energy (eV for the cell shown): -89.43
# Calculated formation energy (kcal/mol of atoms): -7.0
data_Ti2IrRu2
_space_group_name_H-M_alt 'P 1'
_space_group_IT_number 1
_cell_length_a 7.042
_cell_length_b 7.042
_cell_length_c 3.058
_cell_angle_alpha 90.00
_cell_angle_beta 90.00
_cell_angle_gamma 90.00
loop_
_space_group_symop_operation_xyz
'x,y,z'
loop_
_atom_site_label
_atom_site_type_symbol
_atom_site_fract_x
_atom_site_fract_y
_atom_site_fract_z
_atom_site_occupancy
Ti1 Ti 0.178 0.322 0.000 1
Ti2 Ti 0.322 0.822 0.000 1
Ti3 Ti 0.678 0.178 0.000 1
Ti4 Ti 0.822 0.678 0.000 1
Ir1 Ir 0.000 0.000 0.500 1
Ir2 Ir 0.500 0.500 0.500 1
Ru1 Ru 0.129 0.629 0.500 1
Ru2 Ru 0.371 0.129 0.500 1
Ru3 Ru 0.629 0.871 0.500 1
Ru4 Ru 0.871 0.371 0.500 1